First-principles (SCAN) data for a crystal of Cd3BO relaxed with PBEsol, as listed in Alexandria.

Output
**Density**: 6.94 g/cm3
**DOS(E_F)**: 3.5 states/eV/f.u.
**ΔE_f (raw)**: 391 meV per atom

Cell: 4.4338 4.4338 4.4338 Å, 90.00 90.00 90.00°
Sites, in units of the cell vectors:
Cd  0.0000  0.0000  0.5000
Cd  0.0000  0.5000  0.0000
Cd  0.5000  0.0000  0.0000
B  0.0000  0.0000  0.0000
O  0.5000  0.5000  0.5000